No. 1
VASP calculation (GGA-PBE) on crystalline CsPdWAu at its relaxed geometry.

Geometry as POSCAR:
```
CsPdWAu
1.0
0.000 3.426 3.426
3.426 0.000 3.426
3.426 3.426 0.000
Au Cs Pd W
1 1 1 1
Direct
0.750 0.750 0.750
0.250 0.250 0.250
0.500 0.500 0.500
0.000 0.000 0.000
```

For the mass density, the calculation gives 12.81 g cm⁻³. As for the offset from the most stable computed form: 47 meV per atom.

***

No. 2
VASP calculation (GGA-PBE) on crystalline HfBeAs at its relaxed geometry.

Geometry as POSCAR:
```
HfBeAs
1.0
0.000 2.911 2.911
2.911 0.000 2.911
2.911 2.911 0.000
As Be Hf
1 1 1
Direct
0.250 0.250 0.250
0.000 0.000 0.000
0.750 0.750 0.750
```

For the mass density, the calculation gives 8.84 g cm⁻³. As for the offset from the most stable computed form: 0 meV per atom.

***

> Among the records above, which one has the highest offset from the most stable computed form?

CsPdWAu

***

> What is the formula in the second record?

HfBeAs